GGA-PBE GaMo2C, relaxed; space-group type = No. 225; V = 12.9 Å³ per atom; calculated formation energy = 3.8 eV/f.u.; E = -7.533 eV/atom
1.0
0.000 2.957 2.957
2.957 0.000 2.957
2.957 2.957 0.000
Mo C Ga
2 1 1
Direct
0.250 0.250 0.250
0.750 0.750 0.750
0.000 0.000 0.000
0.500 0.500 0.500


GGA-PBE AgTe2, relaxed; space-group type = No. 139; uncorrected formation energy = 155 meV per atom; V = 28.5 Å³ per atom; E = -2.890 eV/atom
1.0
-0.377 1.510 -8.592
3.846 0.152 -7.838
-2.359 -2.965 7.868
Te Ag
2 1
Direct
0.135 0.135 0.000
0.865 0.865 0.000
0.500 0.500 0.000


GGA-PBE Fe2SnPd, relaxed; space-group type = No. 1; V = 15.0 Å³ per atom; calculated formation energy = -0.1 eV/f.u.; E = -6.548 eV/atom
1.0
4.698 0.078 0.027
-1.595 4.601 -0.390
-1.477 -1.793 5.671
Sn Pd Fe
2 2 4
Direct
0.100 0.249 0.103
0.373 0.524 0.655
0.743 0.389 0.391
0.485 0.128 0.865
0.235 0.876 0.362
0.998 0.657 0.913
0.623 0.772 0.153
0.853 0.988 0.589


GGA-PBE SmEr2PuN4, relaxed; space-group type = No. 10; uncorrected formation energy = -1550 meV per atom; V = 14.9 Å³ per atom; E = -9.235 eV/atom
1.0
3.485 0.000 0.000
0.000 6.014 0.110
0.000 -2.099 5.637
Sm Er Pu N
1 2 1 4
Direct
0.500 0.500 0.000
0.500 0.000 0.500
0.000 0.500 0.500
0.000 0.000 0.000
0.500 0.243 0.251
0.500 0.757 0.749
0.000 0.240 0.745
0.000 0.760 0.255


GGA-PBE NaCeEuSn, relaxed; space-group type = No. 216; V = 30.7 Å³ per atom; calculated formation energy = -0.9 eV/f.u.; E = -5.609 eV/atom
1.0
5.580 0.000 0.000
2.790 4.832 0.000
2.790 1.611 4.556
Eu Na Sn Ce
1 1 1 1
Direct
0.000 0.000 0.000
0.750 0.750 0.750
0.250 0.250 0.250
0.500 0.500 0.500


GGA-PBE Hf2CuPt5Rh, relaxed; space-group type = No. 140; V = 18.5 Å³ per atom; calculated formation energy = -0.7 eV/f.u.; E = -6.923 eV/atom
1.0
-4.142 -2.608 6.345
-1.151 -7.042 -3.647
7.022 3.016 0.763
Hf Cu Pt Rh
4 2 10 2
Direct
0.121 0.379 0.000
0.621 0.121 0.000
0.379 0.879 0.000
0.879 0.621 0.000
0.250 0.250 0.500
0.750 0.750 0.500
0.938 0.438 0.264
0.674 0.174 0.736
0.062 0.562 0.736
0.174 0.062 0.736
0.562 0.674 0.736
0.826 0.938 0.264
0.438 0.326 0.264
0.326 0.826 0.264
0.500 0.500 0.000
0.000 0.000 0.000
0.250 0.750 0.500
0.750 0.250 0.500


GGA-PBE CaPr2Ag, relaxed; space-group type = No. 166; V = 33.5 Å³ per atom; calculated formation energy = 0.1 eV/f.u.; E = -3.573 eV/atom
1.0
-1.163 3.405 1.023
-3.172 0.387 1.945
4.234 0.367 10.430
Pr Ca Ag
2 1 1
Direct
0.262 0.262 0.213
0.738 0.738 0.787
0.500 0.500 0.500
0.000 0.000 0.000


GGA-PBE Ac8Pt4Se, relaxed; space-group type = No. 8; uncorrected formation energy = -944 meV per atom; V = 41.8 Å³ per atom; E = -5.599 eV/atom
1.0
4.334 0.000 0.937
1.953 11.131 1.461
-0.162 0.113 11.243
Ac Pt Se
8 4 1
Direct
0.133 0.403 0.332
0.539 0.274 0.647
0.463 0.709 0.366
0.859 0.589 0.693
0.831 0.340 0.998
0.210 0.917 0.663
0.163 0.657 0.017
0.787 0.062 0.365
0.351 0.454 0.844
0.840 0.816 0.504
0.164 0.165 0.506
0.648 0.527 0.177
0.657 0.820 0.866


GGA-PBE AgP2, relaxed; space-group type = No. 14; V = 19.3 Å³ per atom; calculated formation energy = 0.0 eV/f.u.; E = -4.558 eV/atom
1.0
5.111 0.000 0.000
0.000 6.251 0.000
0.000 3.134 7.232
Ag P
4 8
Direct
0.953 0.144 0.098
0.453 0.856 0.402
0.047 0.856 0.902
0.547 0.144 0.598
0.594 0.411 0.916
0.094 0.589 0.584
0.406 0.589 0.084
0.906 0.411 0.416
0.232 0.276 0.301
0.732 0.724 0.199
0.768 0.724 0.699
0.268 0.276 0.801


GGA-PBE UTlIn2I6, relaxed; space-group type = No. 1; uncorrected formation energy = -633 meV per atom; V = 48.8 Å³ per atom; E = -3.477 eV/atom
1.0
8.646 -0.001 -0.006
-4.323 7.478 0.000
-4.322 -2.494 7.559
U Tl In I
1 1 2 6
Direct
0.979 0.989 0.954
0.993 0.496 0.476
0.587 0.793 0.366
0.607 0.303 0.896
0.519 0.899 0.693
0.449 0.100 0.176
0.842 0.741 0.176
0.089 0.347 0.176
0.809 0.619 0.694
0.089 0.190 0.695


GGA-PBE TlCuW2, relaxed; space-group type = No. 25; V = 17.3 Å³ per atom; calculated formation energy = 2.9 eV/f.u.; E = -7.365 eV/atom
1.0
-0.092 -1.305 2.436
3.463 -2.134 -1.013
3.364 4.304 2.433
Cu Tl W
1 1 2
Direct
0.000 0.000 0.479
0.500 0.500 0.736
0.000 0.000 0.037
0.500 0.500 0.248


GGA-PBE PmGdTl4, relaxed; space-group type = No. 216; V = 28.6 Å³ per atom; calculated formation energy = -0.7 eV/f.u.; E = -4.828 eV/atom
1.0
6.235 0.000 0.000
3.118 5.400 0.000
3.118 1.800 5.091
Tl Gd Pm
4 1 1
Direct
0.625 0.625 0.125
0.625 0.125 0.625
0.625 0.625 0.625
0.125 0.625 0.625
0.000 0.000 0.000
0.250 0.250 0.250


GGA-PBE LaY2Bi2, relaxed; space-group type = No. 139; V = 32.7 Å³ per atom; calculated formation energy = -2.9 eV/f.u.; E = -5.697 eV/atom
1.0
-0.223 0.392 -4.626
2.651 -3.792 -0.449
-4.996 -6.033 -2.605
Y Bi La
2 2 1
Direct
0.750 0.250 0.500
0.250 0.750 0.500
0.394 0.394 0.212
0.606 0.606 0.788
0.000 0.000 0.000


GGA-PBE VCo2H3, relaxed; space-group type = No. 12; V = 6.8 Å³ per atom; E = -5.614 eV/atom
1.0
2.668 0.000 0.000
0.000 5.112 1.113
-1.334 0.285 6.033
V Co H
2 4 6
Direct
0.348 0.069 0.696
0.652 0.931 0.304
0.322 0.589 0.645
0.678 0.411 0.355
0.010 0.756 0.019
0.990 0.244 0.981
0.190 0.167 0.380
0.164 0.641 0.327
0.441 0.692 0.881
0.810 0.833 0.620
0.559 0.308 0.119
0.836 0.359 0.673


GGA-PBE RbGe2TeW, relaxed; space-group type = No. 123; uncorrected formation energy = 2702 meV per atom; V = 32.6 Å³ per atom; E = -2.557 eV/atom
1.0
5.277 0.000 0.000
0.000 5.845 0.000
0.000 0.000 5.277
Ge Te Rb W
2 1 1 1
Direct
0.000 0.000 0.500
0.500 0.000 0.000
0.000 0.500 0.000
0.000 0.000 0.000
0.500 0.500 0.500


GGA-PBE LaTiAu3, relaxed; space-group type = No. 221; V = 25.2 Å³ per atom; calculated formation energy = -1.0 eV/f.u.; E = -4.724 eV/atom
1.0
5.011 0.000 0.000
0.000 5.011 0.000
0.000 0.000 5.011
Ti Au La
1 3 1
Direct
0.000 0.000 0.000
0.000 0.500 0.000
0.000 0.000 0.500
0.500 0.000 0.000
0.500 0.500 0.500


GGA-PBE Sb3W5, relaxed; space-group type = No. 65; uncorrected formation energy = 694 meV per atom; V = 17.8 Å³ per atom; E = -8.947 eV/atom
1.0
-1.281 2.630 4.874
0.388 -5.588 0.966
4.540 0.477 0.935
Sb W
3 5
Direct
0.500 0.500 0.000
0.757 0.243 0.500
0.243 0.757 0.500
0.000 0.000 0.000
0.000 0.500 0.000
0.500 0.000 0.000
0.251 0.251 0.500
0.749 0.749 0.500


GGA-PBE PuTa2Fe, relaxed; space-group type = No. 166; V = 17.9 Å³ per atom; calculated formation energy = 1.4 eV/f.u.; E = -11.282 eV/atom
1.0
3.008 0.000 0.000
1.504 2.605 0.000
1.504 0.868 9.157
Ta Fe Pu
2 1 1
Direct
0.238 0.238 0.286
0.762 0.762 0.714
0.500 0.500 0.500
0.000 0.000 0.000


GGA-PBE Si2BTeIr, relaxed; space-group type = No. 123; uncorrected formation energy = 324 meV per atom; V = 18.9 Å³ per atom; E = -5.581 eV/atom
1.0
4.817 0.000 0.000
0.000 4.065 0.000
0.000 0.000 4.817
Si Ir Te B
2 1 1 1
Direct
0.000 0.000 0.500
0.500 0.000 0.000
0.000 0.000 0.000
0.500 0.500 0.500
0.000 0.500 0.000


GGA-PBE Sm8Si2Ru, relaxed; space-group type = No. 12; uncorrected formation energy = -300 meV per atom; V = 27.5 Å³ per atom; E = -5.561 eV/atom
1.0
-3.525 -1.078 2.989
-0.128 -6.479 -2.488
7.946 -0.276 5.502
Sm Si Ru
8 2 1
Direct
0.405 0.514 0.809
0.653 0.001 0.306
0.784 0.668 0.567
0.981 0.218 0.963
0.216 0.332 0.433
0.347 0.999 0.694
0.595 0.486 0.191
0.019 0.782 0.037
0.818 0.250 0.636
0.182 0.750 0.364
0.500 0.000 0.000


GGA-PBE Fe3NiB, relaxed; space-group type = No. 221; V = 10.4 Å³ per atom; calculated formation energy = 1.8 eV/f.u.; E = -7.207 eV/atom
1.0
-2.080 -0.951 2.953
3.067 -1.161 1.787
0.463 3.420 1.427
Ni B Fe
1 1 3
Direct
0.500 0.500 0.500
0.000 0.000 0.000
0.000 0.500 0.000
0.000 0.000 0.500
0.500 0.000 0.000


GGA-PBE AcRuBr, relaxed; space-group type = No. 12; uncorrected formation energy = -969 meV per atom; V = 32.8 Å³ per atom; E = -5.988 eV/atom
1.0
4.373 -0.041 -0.029
-2.188 3.786 0.029
-2.084 -1.294 11.944
Ac Ru Br
2 2 2
Direct
0.880 0.440 0.320
0.120 0.560 0.680
0.334 0.160 0.494
0.666 0.840 0.506
0.561 0.287 0.848
0.439 0.713 0.152


GGA-PBE La4Eu2H, relaxed; space-group type = No. 139; V = 33.8 Å³ per atom; E = -6.169 eV/atom
1.0
5.119 0.000 0.000
0.000 5.119 0.000
2.559 2.559 9.031
Eu H La
2 1 4
Direct
0.651 0.651 0.698
0.349 0.349 0.302
0.000 0.000 0.000
0.849 0.849 0.303
0.151 0.151 0.697
0.000 0.500 0.000
0.500 0.000 0.000


GGA-PBE Sr2TlIn4Au3, relaxed; space-group type = No. 115; V = 26.6 Å³ per atom; calculated formation energy = -4.4 eV/f.u.; E = -3.096 eV/atom
1.0
4.674 0.000 0.000
0.000 4.674 0.000
0.000 0.000 12.180
Sr Tl In Au
2 1 4 3
Direct
0.500 0.000 0.241
0.000 0.500 0.759
0.500 0.500 0.500
0.500 0.500 0.000
0.000 0.000 0.000
0.500 0.000 0.644
0.000 0.500 0.356
0.000 0.000 0.500
0.500 0.000 0.868
0.000 0.500 0.132


GGA-PBE NdThCdRh, relaxed; space-group type = No. 216; V = 25.2 Å³ per atom; calculated formation energy = -1.3 eV/f.u.; E = -5.449 eV/atom
1.0
-2.914 -3.709 -2.251
2.299 -3.940 -2.551
-0.099 -4.824 2.008
Rh Nd Th Cd
1 1 1 1
Direct
0.250 0.250 0.250
0.500 0.500 0.500
0.000 0.000 0.000
0.750 0.750 0.750